DFT (PBE) results for crystalline YCo2Ni at its relaxed geometry.

## Properties
E	-102.62	eV for the cell shown
E_form	0.200	eV/atom
volume	14.6	Å³ per atom

The structure in CIF format:
```
data_YCo2Ni
_cell_length_a 6.159
_cell_length_b 6.159
_cell_length_c 6.159
_cell_angle_alpha 90.00
_cell_angle_beta 90.00
_cell_angle_gamma 90.00
_symmetry_space_group_name_H-M 'F m -3 m'
_symmetry_Int_Tables_number 225
_symmetry_space_group_name_Hall '-F 4 2 3'
loop_
_atom_site_label
_atom_site_fract_x
_atom_site_fract_y
_atom_site_fract_z
_atom_site_occupancy
Y1 0.000 0.000 0.000 1
Co1 0.250 0.250 0.250 1
Ni1 0.000 0.000 0.500 1
```